one | First-principles (GGA-PBE) data for an optimized crystal structure of CaMnGaP, as listed in Alexandria.

Lattice parameters (Å, degrees): 3.707 3.707 6.382 90.00 90.00 120.00
Sites, in units of the cell vectors:
Ca  0.000  0.000  0.000
Mn  0.667  0.333  0.421
Ga  0.333  0.667  0.665
P  0.333  0.667  0.291

Values from the calculation:
crystal system = trigonal

=====

two | First-principles (GGA-PBE) data for an optimized crystal structure of CaMnGaP, as listed in Alexandria.

Lattice parameters (Å, degrees): 5.887 5.887 5.887 38.62 38.62 38.62
Sites, in units of the cell vectors:
Ca  0.000  0.000  0.000
Mn  0.521  0.521  0.521
Ga  0.789  0.789  0.789
P  0.216  0.216  0.216

Values from the calculation:
crystal system = trigonal

=====

Quick ranking, most stable first: two, one.